A relaxed structure of ZnCuIr2Ru, computed with PBE-GGA.

```
ZnCuIr2Ru
1.0
-2.328 2.407 -3.252
-1.008 -3.950 -2.203
-3.917 -0.399 2.509
Ru Ir Zn Cu
1 2 1 1
Direct
0.000 0.000 0.000
0.000 0.000 0.500
0.500 0.000 0.000
0.500 0.500 0.500
0.000 0.500 0.000
```

Results
For the formation energy, the calculation gives 1.47 eV per atom. As for the final energy: -5.0085 eV per atom. As for the symmetry: No. 123.